(1)
{
  "formula": "DyEr2ScBi4",
  "functional": "GGA-PBE",
  "state": "relaxed",
  "dft_energy_ev_per_cell": -41.800,
  "total_magnetization_mub_per_cell": 0.00,
  "e_form_ev_per_fu": -6.2,
  "cell": [[7.642, 0.000, 0.000], [0.000, 4.415, 0.000], [-2.547, 0.000, 7.207]],
  "species": ["Dy", "Er", "Er", "Sc", "Bi", "Bi", "Bi", "Bi"],
  "frac_coords": [[0.000, 0.000, 0.000], [0.000, 0.500, 0.500], [0.500, 0.000, 0.500], [0.500, 0.500, 0.000], [0.255, 0.500, 0.247], [0.259, 0.000, 0.757], [0.741, 0.000, 0.243], [0.745, 0.500, 0.753]]
}


(2)
{
  "formula": "SmDy2ErBi4",
  "functional": "GGA-PBE",
  "state": "relaxed",
  "dft_energy_ev_per_cell": -40.900,
  "total_magnetization_mub_per_cell": 0.00,
  "e_form_ev_per_fu": -6.9,
  "cell": [[7.775, 0.000, 0.000], [0.000, 4.493, 0.000], [-2.593, 0.000, 7.332]],
  "species": ["Sm", "Dy", "Dy", "Er", "Bi", "Bi", "Bi", "Bi"],
  "frac_coords": [[0.000, 0.000, 0.000], [0.000, 0.500, 0.500], [0.500, 0.000, 0.500], [0.500, 0.500, 0.000], [0.253, 0.000, 0.750], [0.254, 0.500, 0.253], [0.746, 0.500, 0.747], [0.747, 0.000, 0.250]]
}


(3)
{
  "formula": "Sm2DyEr3Bi6",
  "functional": "GGA-PBE",
  "state": "relaxed",
  "dft_energy_ev_per_cell": -61.292,
  "total_magnetization_mub_per_cell": 0.00,
  "e_form_ev_per_fu": -10.3,
  "cell": [[9.778, -2.245, 0.000], [9.778, 2.245, 0.000], [-2.044, 0.000, 8.740]],
  "species": ["Sm", "Sm", "Dy", "Er", "Er", "Er", "Bi", "Bi", "Bi", "Bi", "Bi", "Bi"],
  "frac_coords": [[0.166, 0.166, 0.333], [0.834, 0.834, 0.667], [0.500, 0.500, 0.000], [0.167, 0.167, 0.833], [0.500, 0.500, 0.500], [0.833, 0.833, 0.167], [0.002, 0.002, 0.750], [0.333, 0.333, 0.922], [0.335, 0.335, 0.413], [0.665, 0.665, 0.587], [0.667, 0.667, 0.078], [0.998, 0.998, 0.250]]
}


(4)
{
  "formula": "Sm3DyEr2Bi6",
  "functional": "GGA-PBE",
  "state": "relaxed",
  "dft_energy_ev_per_cell": -61.680,
  "total_magnetization_mub_per_cell": 0.00,
  "e_form_ev_per_fu": -10.5,
  "cell": [[9.819, -2.254, 0.000], [9.819, 2.254, 0.000], [-2.049, 0.000, 8.776]],
  "species": ["Sm", "Sm", "Sm", "Dy", "Er", "Er", "Bi", "Bi", "Bi", "Bi", "Bi", "Bi"],
  "frac_coords": [[0.000, 0.000, 0.000], [0.334, 0.334, 0.667], [0.666, 0.666, 0.333], [0.000, 0.000, 0.500], [0.333, 0.333, 0.167], [0.667, 0.667, 0.833], [0.166, 0.166, 0.588], [0.168, 0.168, 0.079], [0.498, 0.498, 0.253], [0.502, 0.502, 0.747], [0.832, 0.832, 0.921], [0.834, 0.834, 0.412]]
}


(5)
{
  "formula": "Sm2DyErBi4",
  "functional": "GGA-PBE",
  "state": "relaxed",
  "dft_energy_ev_per_cell": -41.160,
  "total_magnetization_mub_per_cell": 0.00,
  "e_form_ev_per_fu": -7.0,
  "cell": [[7.809, 0.000, 0.000], [0.000, 4.513, 0.000], [-2.605, 0.000, 7.366]],
  "species": ["Sm", "Sm", "Dy", "Er", "Bi", "Bi", "Bi", "Bi"],
  "frac_coords": [[0.000, 0.000, 0.000], [0.000, 0.500, 0.500], [0.500, 0.000, 0.500], [0.500, 0.500, 0.000], [0.256, 0.500, 0.251], [0.257, 0.000, 0.753], [0.743, 0.000, 0.247], [0.744, 0.500, 0.749]]
}


(6)
{
  "formula": "Sm3Dy2ErBi6",
  "functional": "GGA-PBE",
  "state": "relaxed",
  "dft_energy_ev_per_cell": -61.815,
  "total_magnetization_mub_per_cell": 0.00,
  "e_form_ev_per_fu": -10.6,
  "cell": [[9.830, -2.256, 0.000], [9.830, 2.256, 0.000], [-2.056, 0.000, 8.786]],
  "species": ["Sm", "Sm", "Sm", "Dy", "Dy", "Er", "Bi", "Bi", "Bi", "Bi", "Bi", "Bi"],
  "frac_coords": [[0.000, 0.000, 0.000], [0.333, 0.333, 0.667], [0.667, 0.667, 0.333], [0.333, 0.333, 0.167], [0.667, 0.667, 0.833], [0.000, 0.000, 0.500], [0.165, 0.165, 0.586], [0.168, 0.168, 0.080], [0.499, 0.499, 0.255], [0.501, 0.501, 0.745], [0.832, 0.832, 0.920], [0.835, 0.835, 0.414]]
}